# Na5B8C2 PBE relaxed
# - Energy relative to the elements: 0.189 eV/atom
# - Energy relative to the lowest polymorph listed for this composition: 1.79 kJ/mol of atoms
# - Magnetization: 0.0000 μB per atom
data_Na5B8C2
_symmetry_space_group_name_H-M 'P -1'
_symmetry_Int_Tables_number 2
_symmetry_space_group_name_Hall '-P 1'
_cell_length_a 5.2776
_cell_length_b 7.5266
_cell_length_c 9.1762
_cell_angle_alpha 75.84
_cell_angle_beta 73.32
_cell_angle_gamma 69.50
loop_
_atom_site_label
_atom_site_fract_x
_atom_site_fract_y
_atom_site_fract_z
Na1 0.0000 0.0000 0.0000
Na2 0.0000 0.5000 0.5000
Na3 0.2001 0.1003 0.4997
Na4 0.2048 0.6011 0.9969
Na5 0.3991 0.7010 0.5005
Na6 0.4005 0.1987 0.0037
B1 0.0503 0.8398 0.7500
B2 0.0631 0.3594 0.2498
B3 0.1269 0.2596 0.7497
B4 0.2319 0.9419 0.2501
B5 0.2524 0.4485 0.7497
B6 0.3751 0.8428 0.7503
B7 0.4199 0.5503 0.2498
B8 0.4400 0.0612 0.7501
C1 0.1653 0.7461 0.2502
C2 0.3616 0.3542 0.2491

---

# Na2B3C PBE relaxed
# - Energy relative to the elements: 0.148 eV/atom
# - Energy relative to the lowest polymorph listed for this composition: 1.38 kJ/mol of atoms
# - Magnetization: 0.0000 μB per atom
data_Na2B3C
_symmetry_space_group_name_H-M 'C 1 m 1'
_symmetry_Int_Tables_number 8
_symmetry_space_group_name_Hall 'C -2y'
_cell_length_a 18.0739
_cell_length_b 2.8151
_cell_length_c 13.5362
_cell_angle_alpha 90.00
_cell_angle_beta 112.86
_cell_angle_gamma 90.00
loop_
_atom_site_label
_atom_site_fract_x
_atom_site_fract_y
_atom_site_fract_z
Na1 0.0000 0.0000 0.0000
Na2 0.9998 0.0000 0.4971
Na3 0.1005 0.5000 0.2003
Na4 0.1010 0.5000 0.6980
Na5 0.2001 0.0000 0.9019
Na6 0.2011 0.0000 0.3996
Na7 0.3003 0.5000 0.1026
Na8 0.3010 0.5000 0.5993
Na9 0.4003 0.0000 0.2997
Na10 0.3997 0.0000 0.7992
B1 0.0215 0.0000 0.7928
B2 0.0258 0.0000 0.3009
B3 0.0652 0.5000 0.8812
B4 0.0662 0.5000 0.3808
B5 0.1298 0.5000 0.0101
B6 0.1307 0.5000 0.5090
B7 0.1740 0.0000 0.0977
B8 0.1737 0.0000 0.5945
B9 0.2367 0.0000 0.7210
B10 0.2427 0.0000 0.2335
B11 0.2778 0.5000 0.8043
B12 0.3373 0.5000 0.4221
B13 0.3670 0.0000 0.9846
B14 0.4304 0.0000 0.6089
B15 0.4583 0.5000 0.1675
C1 0.2743 0.5000 0.2958
C2 0.3367 0.5000 0.9231
C3 0.3685 0.0000 0.4848
C4 0.4281 0.0000 0.1079
C5 0.4623 0.5000 0.6734

---

# Na2B3C PBE relaxed
# - Energy relative to the elements: 0.170 eV/atom
# - Energy relative to the lowest polymorph listed for this composition: 3.58 kJ/mol of atoms
# - Magnetization: 0.0004 μB per atom
data_Na2B3C
_symmetry_space_group_name_H-M 'P m m 2'
_symmetry_Int_Tables_number 25
_symmetry_space_group_name_Hall 'P 2 -2'
_cell_length_a 2.8561
_cell_length_b 17.1938
_cell_length_c 5.1593
_cell_angle_alpha 90.00
_cell_angle_beta 90.00
_cell_angle_gamma 90.00
loop_
_atom_site_label
_atom_site_fract_x
_atom_site_fract_y
_atom_site_fract_z
Na1 0.0000 0.1218 0.0000
Na2 0.0000 0.3751 0.9992
Na3 0.5000 0.1228 0.5017
Na4 0.5000 0.3741 0.5012
B1 0.0000 0.0000 0.3291
B2 0.0000 0.2478 0.3484
B3 0.0000 0.2477 0.6792
B4 0.0000 0.5000 0.3352
B5 0.0000 0.5000 0.6648
B6 0.5000 0.0000 0.8293
B7 0.5000 0.2477 0.1355
B8 0.5000 0.5000 0.1637
B9 0.5000 0.5000 0.8362
C1 0.0000 0.0000 0.6653
C2 0.5000 0.0000 0.1654
C3 0.5000 0.2474 0.8364

---

# Na2B3C PBE relaxed
# - Energy relative to the elements: 0.180 eV/atom
# - Energy relative to the lowest polymorph listed for this composition: 4.52 kJ/mol of atoms
# - Magnetization: 0.0000 μB per atom
data_Na2B3C
_symmetry_space_group_name_H-M 'P 1'
_symmetry_Int_Tables_number 1
_symmetry_space_group_name_Hall 'P 1'
_cell_length_a 5.0559
_cell_length_b 5.8317
_cell_length_c 9.0831
_cell_angle_alpha 80.76
_cell_angle_beta 73.84
_cell_angle_gamma 89.97
loop_
_atom_site_label
_atom_site_fract_x
_atom_site_fract_y
_atom_site_fract_z
Na1 0.0000 0.0000 0.0000
Na2 0.9999 0.4995 0.0003
Na3 0.2503 0.1255 0.4980
Na4 0.2537 0.6258 0.4953
Na5 0.5004 0.7501 0.9992
Na6 0.5025 0.2507 0.9964
Na7 0.7512 0.8761 0.4955
Na8 0.7531 0.3755 0.4958
B1 0.0364 0.6878 0.2480
B2 0.2207 0.4255 0.2479
B3 0.2209 0.9505 0.2474
B4 0.2757 0.3128 0.7478
B5 0.2940 0.8128 0.7468
B6 0.4623 0.0645 0.7469
B7 0.4618 0.5616 0.7476
B8 0.6957 0.6880 0.2474
B9 0.7131 0.1881 0.2473
B10 0.8095 0.0759 0.7478
B11 0.8098 0.5494 0.7481
B12 0.9446 0.8129 0.7477
C1 0.0427 0.1879 0.2477
C2 0.5412 0.4326 0.2474
C3 0.5413 0.9434 0.2469
C4 0.9577 0.3127 0.7483

---

# Na2B3C PBE relaxed
# - Energy relative to the elements: 0.154 eV/atom
# - Energy relative to the lowest polymorph listed for this composition: 1.99 kJ/mol of atoms
# - Magnetization: 0.0001 μB per atom
data_Na2B3C
_symmetry_space_group_name_H-M 'C 1 m 1'
_symmetry_Int_Tables_number 8
_symmetry_space_group_name_Hall 'C -2y'
_cell_length_a 17.9707
_cell_length_b 2.8371
_cell_length_c 13.4984
_cell_angle_alpha 90.00
_cell_angle_beta 112.88
_cell_angle_gamma 90.00
loop_
_atom_site_label
_atom_site_fract_x
_atom_site_fract_y
_atom_site_fract_z
Na1 0.0000 0.0000 0.0000
Na2 0.0002 0.0000 0.4958
Na3 0.0976 0.5000 0.1979
Na4 0.1013 0.5000 0.6988
Na5 0.1974 0.0000 0.3969
Na6 0.2002 0.0000 0.9005
Na7 0.2978 0.5000 0.5980
Na8 0.3003 0.5000 0.0977
Na9 0.3999 0.0000 0.8002
Na10 0.4015 0.0000 0.2941
B1 0.0307 0.0000 0.3083
B2 0.0336 0.0000 0.8170
B3 0.0704 0.5000 0.3879
B4 0.0731 0.5000 0.8970
B5 0.1405 0.5000 0.0301
B6 0.1637 0.0000 0.5759
B7 0.2326 0.0000 0.2126
B8 0.2325 0.0000 0.7145
B9 0.2725 0.5000 0.7954
B10 0.3225 0.5000 0.3926
B11 0.3637 0.0000 0.4757
B12 0.3655 0.0000 0.9816
B13 0.4270 0.0000 0.6023
B14 0.4607 0.5000 0.1698
B15 0.4698 0.5000 0.6880
C1 0.1327 0.5000 0.5129
C2 0.1708 0.0000 0.0896
C3 0.2634 0.5000 0.2738
C4 0.3340 0.5000 0.9193
C5 0.4292 0.0000 0.1081

---

# Na4B5C3 PBE relaxed
# - Energy relative to the elements: 0.075 eV/atom
# - Energy relative to the lowest polymorph listed for this composition: 1.42 kJ/mol of atoms
# - Magnetization: 0.0000 μB per atom
data_Na4B5C3
_symmetry_space_group_name_H-M 'C 1 2/m 1'
_symmetry_Int_Tables_number 12
_symmetry_space_group_name_Hall '-C 2y'
_cell_length_a 17.7177
_cell_length_b 2.8340
_cell_length_c 10.0669
_cell_angle_alpha 90.00
_cell_angle_beta 106.43
_cell_angle_gamma 90.00
loop_
_atom_site_label
_atom_site_fract_x
_atom_site_fract_y
_atom_site_fract_z
Na1 0.0000 0.0000 0.0000
Na2 0.0000 0.0000 0.5000
Na3 0.0012 0.5000 0.2506
Na4 0.2484 0.5000 0.3738
Na5 0.2494 0.0000 0.1244
B1 0.1243 0.0000 0.2156
B2 0.1243 0.0000 0.3937
B3 0.1251 0.5000 0.4938
B4 0.1251 0.5000 0.9738
B5 0.1258 0.0000 0.7335
C1 0.1244 0.5000 0.1372
C2 0.1255 0.0000 0.8959
C3 0.1261 0.5000 0.6545

---

# Na5B8C2 PBE relaxed
# - Energy relative to the elements: 0.185 eV/atom
# - Energy relative to the lowest polymorph listed for this composition: 1.46 kJ/mol of atoms
# - Magnetization: 0.0000 μB per atom
data_Na5B8C2
_symmetry_space_group_name_H-M 'C m c m'
_symmetry_Int_Tables_number 63
_symmetry_space_group_name_Hall '-C 2c 2'
_cell_length_a 2.8116
_cell_length_b 26.4692
_cell_length_c 8.6627
_cell_angle_alpha 90.00
_cell_angle_beta 90.00
_cell_angle_gamma 90.00
loop_
_atom_site_label
_atom_site_fract_x
_atom_site_fract_y
_atom_site_fract_z
Na1 0.0000 0.0000 0.0000
Na2 0.0000 0.2002 0.0006
Na3 0.0000 0.3996 0.5023
B1 0.0000 0.0649 0.2500
B2 0.0000 0.0674 0.7500
B3 0.0000 0.1308 0.2500
B4 0.0000 0.1305 0.7500
B5 0.0000 0.2617 0.2500
B6 0.0000 0.3272 0.2500
B7 0.0000 0.3291 0.7500
B8 0.0000 0.4750 0.2500
C1 0.0000 0.2692 0.7500
C2 0.0000 0.4665 0.7500

---

# Na2B3C PBE relaxed
# - Energy relative to the elements: 0.164 eV/atom
# - Energy relative to the lowest polymorph listed for this composition: 2.94 kJ/mol of atoms
# - Magnetization: 0.0000 μB per atom
data_Na2B3C
_symmetry_space_group_name_H-M 'P 1'
_symmetry_Int_Tables_number 1
_symmetry_space_group_name_Hall 'P 1'
_cell_length_a 4.9035
_cell_length_b 7.6495
_cell_length_c 9.1259
_cell_angle_alpha 77.21
_cell_angle_beta 75.18
_cell_angle_gamma 75.70
loop_
_atom_site_label
_atom_site_fract_x
_atom_site_fract_y
_atom_site_fract_z
Na1 0.0000 0.0000 0.0000
Na2 0.0004 0.4927 0.5201
Na3 0.1965 0.0940 0.5141
Na4 0.1985 0.5974 0.0100
Na5 0.3966 0.6974 0.5135
Na6 0.3986 0.1921 0.0156
Na7 0.6009 0.7979 0.0081
Na8 0.6058 0.2928 0.5115
Na9 0.7850 0.8975 0.5225
Na10 0.8021 0.3952 0.0068
B1 0.0268 0.8565 0.7617
B2 0.1803 0.9469 0.2624
B3 0.2050 0.2365 0.7610
B4 0.2175 0.4698 0.7630
B5 0.2167 0.7127 0.2618
B6 0.3611 0.3439 0.2626
B7 0.4591 0.0360 0.7615
B8 0.5606 0.9526 0.2623
B9 0.5675 0.4192 0.7627
B10 0.5873 0.6652 0.7636
B11 0.7890 0.5307 0.2623
B12 0.8489 0.2357 0.7611
B13 0.8524 0.7709 0.2617
B14 0.9322 0.1570 0.2624
B15 0.9422 0.6467 0.7635
C1 0.0283 0.3478 0.2625
C2 0.3580 0.8476 0.7627
C3 0.4555 0.5373 0.2621
C4 0.6022 0.1580 0.2629
C5 0.7857 0.0385 0.7605

---

# Na2B3C PBE relaxed
# - Energy relative to the elements: 0.191 eV/atom
# - Energy relative to the lowest polymorph listed for this composition: 5.57 kJ/mol of atoms
# - Magnetization: 0.0000 μB per atom
data_Na2B3C
_symmetry_space_group_name_H-M 'P -6 m 2'
_symmetry_Int_Tables_number 187
_symmetry_space_group_name_Hall 'P -6 2'
_cell_length_a 2.9150
_cell_length_b 2.9150
_cell_length_c 42.8752
_cell_angle_alpha 90.00
_cell_angle_beta 90.00
_cell_angle_gamma 120.00
loop_
_atom_site_label
_atom_site_fract_x
_atom_site_fract_y
_atom_site_fract_z
Na1 0.0000 0.0000 0.0489
Na2 0.0000 0.0000 0.1472
Na3 0.0000 0.0000 0.2488
Na4 0.0000 0.0000 0.3506
Na5 0.0000 0.0000 0.4494
B1 0.3333 0.6667 0.0978
B2 0.3333 0.6667 0.1978
B3 0.3333 0.6667 0.2999
B4 0.3333 0.6667 0.5000
B5 0.6667 0.3333 0.0000
B6 0.6667 0.3333 0.1978
B7 0.6667 0.3333 0.2999
B8 0.6667 0.3333 0.3999
B9 0.6667 0.3333 0.5000
C1 0.3333 0.6667 0.0000
C2 0.3333 0.6667 0.3999
C3 0.6667 0.3333 0.0978

---

# Na5B6C4 PBE relaxed
# - Energy relative to the elements: 0.057 eV/atom
# - Energy relative to the lowest polymorph listed for this composition: 0.52 kJ/mol of atoms
# - Magnetization: 0.0000 μB per atom
data_Na5B6C4
_symmetry_space_group_name_H-M 'C m c m'
_symmetry_Int_Tables_number 63
_symmetry_space_group_name_Hall '-C 2c 2'
_cell_length_a 2.8335
_cell_length_b 24.9768
_cell_length_c 8.4848
_cell_angle_alpha 90.00
_cell_angle_beta 90.00
_cell_angle_gamma 90.00
loop_
_atom_site_label
_atom_site_fract_x
_atom_site_fract_y
_atom_site_fract_z
Na1 0.0000 0.0000 0.0000
Na2 0.0000 0.1999 0.0032
Na3 0.0000 0.4005 0.5008
B1 0.0000 0.0667 0.7500
B2 0.0000 0.1272 0.2500
B3 0.0000 0.2609 0.7500
B4 0.0000 0.3326 0.7500
B5 0.0000 0.3366 0.2500
B6 0.0000 0.4696 0.7500
C1 0.0000 0.0627 0.2500
C2 0.0000 0.1320 0.7500
C3 0.0000 0.2705 0.2500
C4 0.0000 0.4653 0.2500

---

# Na2B3C PBE relaxed
# - Energy relative to the elements: 0.170 eV/atom
# - Energy relative to the lowest polymorph listed for this composition: 3.53 kJ/mol of atoms
# - Magnetization: 0.0000 μB per atom
data_Na2B3C
_symmetry_space_group_name_H-M 'P 1 m 1'
_symmetry_Int_Tables_number 6
_symmetry_space_group_name_Hall 'P -2y'
_cell_length_a 5.2232
_cell_length_b 8.6587
_cell_length_c 7.4798
_cell_angle_alpha 90.00
_cell_angle_beta 110.42
_cell_angle_gamma 90.00
loop_
_atom_site_label
_atom_site_fract_x
_atom_site_fract_y
_atom_site_fract_z
Na1 0.0000 0.2449 0.0000
Na2 0.2011 0.2523 0.3998
Na3 0.4000 0.2461 0.7993
Na4 0.6011 0.2482 0.1995
Na5 0.7983 0.2497 0.6009
B1 0.0474 0.5000 0.7936
B2 0.0494 0.0000 0.7888
B3 0.1627 0.0000 0.5900
B4 0.2302 0.5000 0.1962
B5 0.3323 0.0000 0.0070
B6 0.3568 0.5000 0.0079
B7 0.4543 0.5000 0.6057
B8 0.5205 0.0000 0.3999
B9 0.5483 0.5000 0.3931
B10 0.6605 0.0000 0.0105
B11 0.6811 0.5000 0.9981
B12 0.7249 0.0000 0.7928
B13 0.8485 0.0000 0.4005
B14 0.8817 0.5000 0.4008
B15 0.9727 0.0000 0.2103
C1 0.1415 0.5000 0.6038
C2 0.2657 0.0000 0.2038
C3 0.4617 0.0000 0.5961
C4 0.7383 0.5000 0.7967
C5 0.9399 0.5000 0.1997

---

# Na2B3C PBE relaxed
# - Energy relative to the elements: 0.156 eV/atom
# - Energy relative to the lowest polymorph listed for this composition: 2.22 kJ/mol of atoms
# - Magnetization: 0.0000 μB per atom
data_Na2B3C
_symmetry_space_group_name_H-M 'A m m 2'
_symmetry_Int_Tables_number 38
_symmetry_space_group_name_Hall 'A 2 -2'
_cell_length_a 8.5898
_cell_length_b 2.8381
_cell_length_c 25.9908
_cell_angle_alpha 90.00
_cell_angle_beta 90.00
_cell_angle_gamma 90.00
loop_
_atom_site_label
_atom_site_fract_x
_atom_site_fract_y
_atom_site_fract_z
Na1 0.2445 0.0000 0.0000
Na2 0.2465 0.0000 0.2016
Na3 0.2484 0.0000 0.6012
Na4 0.2493 0.0000 0.8018
Na5 0.2519 0.0000 0.4009
B1 0.0000 0.0000 0.0715
B2 0.0000 0.0000 0.2747
B3 0.0000 0.0000 0.4620
B4 0.0000 0.0000 0.5321
B5 0.0000 0.0000 0.6652
B6 0.0000 0.0000 0.7348
B7 0.0000 0.0000 0.8678
B8 0.5000 0.0000 0.0679
B9 0.5000 0.0000 0.1319
B10 0.5000 0.0000 0.3308
B11 0.5000 0.0000 0.5260
B12 0.5000 0.0000 0.6728
B13 0.5000 0.0000 0.7396
B14 0.5000 0.0000 0.8692
B15 0.5000 0.0000 0.9358
C1 0.0000 0.0000 0.1341
C2 0.0000 0.0000 0.3368
C3 0.0000 0.0000 0.9314
C4 0.5000 0.0000 0.2695
C5 0.5000 0.0000 0.4666